(1)
Pr3Al3GeIr2 | PBE-GGA | relaxed

Calculated values
- uncorrected energy (eV per atom) = -5.928
- energy relative to the lowest polymorph listed for this composition (meV/atom) = 0
- calculated volume (Å³/atom) = 21.8
- M_tot (μB/f.u.) = 0.02

a = 7.3990 Å, b = 7.3990 Å, c = 4.1428 Å
α = 90.00°, β = 90.00°, γ = 120.00°
Last column: nearest neighbours and their distance in Å.
Element x y z (fractional)
Ge: 0.0000 0.0000 0.0000  6 Al 2.87, 3 Pr 3.00
Ir: 0.6667 0.3333 0.5000  3 Al 2.74, 6 Pr 3.06
Al: 0.2691 0.2691 0.5000  2 Ir 2.74, 2 Ge 2.87
Pr: 0.5941 0.5941 0.0000  1 Ge 3.00, 4 Ir 3.06, 6 Al 3.17-3.36
Al: 0.0000 0.7309 0.5000  2 Ir 2.74, 2 Ge 2.87
Ir: 0.3333 0.6667 0.5000  3 Al 2.74, 6 Pr 3.06
Al: 0.7309 0.0000 0.5000  2 Ir 2.74, 2 Ge 2.87
Pr: 0.0000 0.4059 0.0000  1 Ge 3.00, 4 Ir 3.06, 6 Al 3.17-3.36
Pr: 0.4059 0.0000 0.0000  1 Ge 3.00, 4 Ir 3.06, 6 Al 3.17-3.36

(2)
ZrScBeCo | PBE-GGA | relaxed

Calculated values
- uncorrected energy (eV per atom) = -6.455
- energy relative to the lowest polymorph listed for this composition (meV/atom) = 155
- calculated volume (Å³/atom) = 14.8
- M_tot (μB/f.u.) = 0.00

a = 4.3769 Å, b = 4.3769 Å, c = 4.3769 Å
α = 60.00°, β = 60.00°, γ = 60.00°
Last column: nearest neighbours and their distance in Å.
Element x y z (fractional)
Co: 0.0000 0.0000 0.0000  4 Be 2.68, 4 Zr 2.68
Sc: 0.5000 0.5000 0.5000  4 Zr 2.68, 4 Be 2.68
Be: 0.7500 0.7500 0.7500  4 Co 2.68, 4 Sc 2.68
Zr: 0.2500 0.2500 0.2500  4 Sc 2.68, 4 Co 2.68

(3)
Dy2YMg3Cd2Ag | PBE-GGA | relaxed

Calculated values
- uncorrected energy (eV per atom) = -3.037
- calculated volume (Å³/atom) = 24.6
- M_tot (μB/f.u.) = 0.01

a = 4.1941 Å, b = 7.8023 Å, c = 7.8023 Å
α = 120.03°, β = 90.00°, γ = 90.00°
Last column: nearest neighbours and their distance in Å.
Element x y z (fractional)
Ag: 0.5000 0.0007 0.0007  6 Mg 2.83-2.84
Mg: 0.0000 0.2442 0.2442  2 Ag 2.83, 2 Cd 3.01
Dy: 0.5000 0.0000 0.4064  4 Cd 3.16, 1 Ag 3.17, 6 Mg 3.44-3.47
Y: 0.5000 0.5933 0.5933  4 Cd 3.17, 1 Ag 3.18, 6 Mg 3.44-3.47
Cd: 0.0000 0.6668 0.3329  3 Mg 3.01, 4 Dy 3.16, 2 Y 3.17
Cd: 0.0000 0.3329 0.6668  3 Mg 3.01, 4 Dy 3.16, 2 Y 3.17
Mg: 0.0000 0.0000 0.7558  2 Ag 2.84, 2 Cd 3.01
Mg: 0.0000 0.7558 0.0000  2 Ag 2.84, 2 Cd 3.01
Dy: 0.5000 0.4064 0.0000  4 Cd 3.16, 1 Ag 3.17, 6 Mg 3.44-3.47